# YCoH | the Alexandria database | PBE | relaxed
data_YCoH
_chemical_formula_sum 'Y2 Co2 H2'
_cell_length_a 4.0312
_cell_length_b 3.8674
_cell_length_c 5.9598
_cell_angle_alpha 90.00
_cell_angle_beta 109.26
_cell_angle_gamma 90.00
_symmetry_space_group_name_H-M 'P 1 21/m 1'
_symmetry_Int_Tables_number 11
_symmetry_space_group_name_Hall '-P 2yb'
loop_
_atom_site_label
_atom_site_fract_x
_atom_site_fract_y
_atom_site_fract_z
_atom_site_occupancy
Y1 0.1390 0.2500 0.2726 1
Co1 0.4650 0.2500 0.8884 1
H1 0.4458 0.7500 0.3630 1
# Theoretical density ... 5.6 g/cm³
# Spin magnetization ... 1.73 μB/cell
# Calculated volume ... 43.9 Å³/f.u.
# Calculated total energy ... -5.98 eV/atom

---

# YCoH2 | the Alexandria database | PBE | relaxed
data_YCoH2
_chemical_formula_sum 'Y4 Co4 H8'
_cell_length_a 5.5928
_cell_length_b 5.5928
_cell_length_c 5.5928
_cell_angle_alpha 90.00
_cell_angle_beta 90.00
_cell_angle_gamma 90.00
_symmetry_space_group_name_H-M 'F m -3 m'
_symmetry_Int_Tables_number 225
_symmetry_space_group_name_Hall '-F 4 2 3'
loop_
_atom_site_label
_atom_site_fract_x
_atom_site_fract_y
_atom_site_fract_z
_atom_site_occupancy
Y1 0.0000 0.0000 0.0000 1
Co1 0.0000 0.0000 0.5000 1
H1 0.2500 0.2500 0.2500 1
# Theoretical density ... 5.7 g/cm³
# Spin magnetization ... 5.77 μB/cell
# Calculated volume ... 43.7 Å³/f.u.
# Calculated total energy ... -5.04 eV/atom
# Energy above the lowest structure with this stoichiometry ... 0.2825 eV per atom

---

# Y2CoH2 | the Alexandria database | PBE | relaxed
data_Y2CoH2
_chemical_formula_sum 'Y4 Co2 H4'
_cell_length_a 3.4156
_cell_length_b 3.4156
_cell_length_c 12.5131
_cell_angle_alpha 90.00
_cell_angle_beta 90.00
_cell_angle_gamma 90.00
_symmetry_space_group_name_H-M 'I 4/m m m'
_symmetry_Int_Tables_number 139
_symmetry_space_group_name_Hall '-I 4 2'
loop_
_atom_site_label
_atom_site_fract_x
_atom_site_fract_y
_atom_site_fract_z
_atom_site_occupancy
Y1 0.0000 0.0000 0.1358 1
Co1 0.0000 0.0000 0.5000 1
H1 0.0000 0.5000 0.2500 1
# Theoretical density ... 5.4 g/cm³
# Spin magnetization ... 0.13 μB/cell
# Calculated volume ... 73.0 Å³/f.u.
# Calculated total energy ... -5.76 eV/atom
# Energy above the lowest structure with this stoichiometry ... 0.0000 eV per atom

---

# Y2CoH4 | the Alexandria database | PBE | relaxed
data_Y2CoH4
_chemical_formula_sum 'Y4 Co2 H8'
_cell_length_a 3.4351
_cell_length_b 3.4351
_cell_length_c 12.9612
_cell_angle_alpha 90.00
_cell_angle_beta 90.00
_cell_angle_gamma 90.00
_symmetry_space_group_name_H-M 'I 4/m m m'
_symmetry_Int_Tables_number 139
_symmetry_space_group_name_Hall '-I 4 2'
loop_
_atom_site_label
_atom_site_fract_x
_atom_site_fract_y
_atom_site_fract_z
_atom_site_occupancy
Y1 0.0000 0.0000 0.1418 1
Co1 0.0000 0.0000 0.5000 1
H1 0.0000 0.0000 0.3706 1
H2 0.0000 0.5000 0.0000 1
# Theoretical density ... 5.2 g/cm³
# Spin magnetization ... 0.57 μB/cell
# Calculated volume ... 76.5 Å³/f.u.
# Calculated total energy ... -5.19 eV/atom

---

# YCo2H2 | the Alexandria database | PBE | relaxed
data_YCo2H2
_chemical_formula_sum 'Y2 Co4 H4'
_cell_length_a 3.4289
_cell_length_b 3.4289
_cell_length_c 9.1653
_cell_angle_alpha 90.00
_cell_angle_beta 90.00
_cell_angle_gamma 90.00
_symmetry_space_group_name_H-M 'I 4/m m m'
_symmetry_Int_Tables_number 139
_symmetry_space_group_name_Hall '-I 4 2'
loop_
_atom_site_label
_atom_site_fract_x
_atom_site_fract_y
_atom_site_fract_z
_atom_site_occupancy
Y1 0.0000 0.0000 0.0000 1
Co1 0.0000 0.0000 0.2925 1
H1 0.0000 0.5000 0.2500 1
# Theoretical density ... 6.4 g/cm³
# Spin magnetization ... 0.00 μB/cell
# Calculated volume ... 53.9 Å³/f.u.
# Calculated total energy ... -5.54 eV/atom

---

# YCoH6 | the Alexandria database | PBE | relaxed
data_YCoH6
_chemical_formula_sum 'Y3 Co3 H18'
_cell_length_a 4.2834
_cell_length_b 4.2834
_cell_length_c 10.9414
_cell_angle_alpha 90.00
_cell_angle_beta 90.00
_cell_angle_gamma 120.00
_symmetry_space_group_name_H-M 'R -3 m'
_symmetry_Int_Tables_number 166
_symmetry_space_group_name_Hall '-R 3 2"'
loop_
_atom_site_label
_atom_site_fract_x
_atom_site_fract_y
_atom_site_fract_z
_atom_site_occupancy
Y1 0.0000 0.0000 0.0000 1
Co1 0.0000 0.0000 0.5000 1
H1 0.0102 0.5051 0.9090 1
# Theoretical density ... 4.4 g/cm³
# Spin magnetization ... 0.00 μB/cell
# Calculated volume ... 57.9 Å³/f.u.
# Calculated total energy ... -4.56 eV/atom